1.
Here is an optimized crystal structure of PrIn4NiPd2 from Alexandria. Energies are from PBE.

Values from the calculation:
- Formation enthalpy at 0 K: -0.42 eV per atom
- Crystal system: trigonal
- V: 168 Å³/cell
- Space group: No. 166

Unit cell a=9.655 b=9.655 c=9.655 alpha=27.42 beta=27.42 gamma=27.42
Fractional positions:
Pr  0.000  0.000  0.000
In  0.134  0.134  0.134
In  0.401  0.401  0.401
In  0.599  0.599  0.599
In  0.866  0.866  0.866
Ni  0.500  0.500  0.500
Pd  0.237  0.237  0.237
Pd  0.763  0.763  0.763

2.
Here is an optimized crystal structure of Ac3Al9Rh2 from Alexandria. Energies are from PBE.

Values from the calculation:
- Formation enthalpy at 0 K: -0.52 eV per atom
- Crystal system: orthorhombic
- V: 300 Å³/cell
- Space group: No. 71

Unit cell a=8.572 b=8.572 c=8.572 alpha=149.52 beta=106.39 gamma=81.72
Fractional positions:
Ac  0.000  0.000  0.000
Ac  0.303  0.303  0.000
Ac  0.697  0.697  0.000
Al  0.008  0.658  0.350
Al  0.163  0.880  0.283
Al  0.308  0.658  0.650
Al  0.403  0.120  0.283
Al  0.500  0.000  0.500
Al  0.597  0.880  0.717
Al  0.692  0.342  0.350
Al  0.837  0.120  0.717
Al  0.992  0.342  0.650
Rh  0.301  0.500  0.801
Rh  0.699  0.500  0.199

3.
Here is an optimized crystal structure of MgNpRu from Alexandria. Energies are from PBE.

Values from the calculation:
- Formation enthalpy at 0 K: 0.06 eV per atom
- Crystal system: monoclinic
- V: 240 Å³/cell
- Space group: No. 14

Unit cell a=6.505 b=6.320 c=6.077 alpha=90.00 beta=105.74 gamma=90.00
Fractional positions:
Mg  0.043  0.238  0.016
Mg  0.043  0.262  0.516
Mg  0.957  0.738  0.484
Mg  0.957  0.762  0.984
Np  0.405  0.611  0.328
Np  0.405  0.889  0.828
Np  0.595  0.111  0.172
Np  0.595  0.389  0.672
Ru  0.285  0.528  0.856
Ru  0.285  0.972  0.356
Ru  0.715  0.028  0.644
Ru  0.715  0.472  0.144

4.
Here is an optimized crystal structure of Rb2CaSb from Alexandria. Energies are from PBE.

Values from the calculation:
- Formation energy from raw total energies: -0.062 eV per atom
- Crystal system: tetragonal
- V: 348 Å³/cell
- Space group: No. 122

Unit cell a=14.181 b=14.181 c=14.181 alpha=159.54 beta=159.54 gamma=29.09
Fractional positions:
Rb  0.105  0.625  0.980
Rb  0.375  0.355  0.480
Rb  0.645  0.125  0.020
Rb  0.875  0.895  0.520
Ca  0.250  0.750  0.500
Ca  0.500  0.500  0.000
Sb  0.000  0.000  0.000
Sb  0.750  0.250  0.500